Entry 1:
Compound: Dy8Ge3TeSe4
Source: Alexandria
Functional: PBE
Structure: relaxed

formation energy (no corrections) = -23.24 eV per formula unit
symmetry = R-3m (166)
uncorrected energy = -5.687 eV/atom

a b c (Å): 8.303 8.303 8.303
angles (deg): 60.22 60.22 60.22
Fractional positions:
Dy  0.232  0.756  0.756
Dy  0.244  0.244  0.768
Dy  0.244  0.768  0.244
Dy  0.246  0.246  0.246
Dy  0.754  0.754  0.754
Dy  0.756  0.232  0.756
Dy  0.756  0.756  0.232
Dy  0.768  0.244  0.244
Ge  0.000  0.000  0.500
Ge  0.000  0.500  0.000
Ge  0.500  0.000  0.000
Te  0.500  0.500  0.500
Se  0.000  0.000  0.000
Se  0.000  0.500  0.500
Se  0.500  0.000  0.500
Se  0.500  0.500  0.000



Entry 2:
Compound: RbBa2LiCo
Source: Alexandria
Functional: PBE
Structure: relaxed

symmetry = P4/mmm (123)
energy of formation = 1.077 eV per atom
uncorrected energy = -1.689 eV/atom

a b c (Å): 6.756 6.756 4.702
angles (deg): 90.00 90.00 90.00
Fractional positions:
Rb  0.000  0.000  0.000
Ba  0.000  0.500  0.000
Ba  0.500  0.000  0.000
Li  0.500  0.500  0.500
Co  0.000  0.000  0.500